DFT (PBE) results for crystalline NdHoMgSn at its relaxed geometry.

Properties
ΔH_f (0 K)	-0.4075	eV per atom

Lattice parameters (Å, degrees): 7.585 7.585 7.585 90.00 90.00 90.00
Space group F-43m (No. 216)
Symmetry-distinct sites (fractional):
Nd (0.000, 0.000, 0.000) x4
Ho (0.000, 0.000, 0.500) x4
Mg (0.250, 0.250, 0.250) x4
Sn (0.250, 0.250, 0.750) x4